# 1
La3Mg2Cd | PBE-GGA | relaxed

Output
* DFT formation energy: -0.190 eV per atom

Cell: 3.9640 5.5721 8.8287 Å, 108.40 90.00 90.00°
Closest atoms and distances in Å follow each position.
Positions (direct):
La (0.5000, 0.8348, 0.6696)  6 Mg 3.39-3.42, 2 Cd 3.40
La (0.5000, 0.1652, 0.3304)  6 Mg 3.39-3.42, 2 Cd 3.40
Mg (0.0000, 0.3296, 0.6591)  8 La 3.39-3.48
La (0.5000, 0.5000, 0.0000)  4 Cd 3.42, 4 Mg 3.48
Cd (0.0000, 0.0000, 0.0000)  8 La 3.40-3.42
Mg (0.0000, 0.6704, 0.3409)  8 La 3.39-3.48

# 2
CePr3Ag2 | PBE-GGA | relaxed

Output
* DFT formation energy: -0.121 eV per atom

Cell: 3.7184 3.7184 12.4734 Å, 90.00 90.00 90.00°
Closest atoms and distances in Å follow each position.
Positions (direct):
Pr (0.0000, 0.0000, 0.6893)  4 Ag 3.27, 4 Ce 3.53
Pr (0.0000, 0.0000, 0.0000)  8 Ag 3.27
Ce (0.5000, 0.5000, 0.5000)  8 Pr 3.53, 4 Ce 3.72
Ag (0.5000, 0.5000, 0.1554)  8 Pr 3.27
Pr (0.0000, 0.0000, 0.3107)  4 Ag 3.27, 4 Ce 3.53
Ag (0.5000, 0.5000, 0.8446)  8 Pr 3.27

# 3
Sn3AuI | PBE-GGA | relaxed

Output
* calculated total energy: -3.141 eV per atom

Cell: 5.5020 5.5020 5.5020 Å, 90.00 90.00 90.00°
Closest atoms and distances in Å follow each position.
Positions (direct):
Sn (0.5000, 0.0000, 0.0000)  2 Au 2.75
Au (0.0000, 0.0000, 0.0000)  6 Sn 2.75
I (0.5000, 0.5000, 0.5000)  12 Sn 3.89
Sn (0.0000, 0.5000, 0.0000)  2 Au 2.75
Sn (0.0000, 0.0000, 0.5000)  2 Au 2.75

# 4
Pm8Cd2In | PBE-GGA | relaxed

Output
* DFT formation energy: -0.197 eV per atom

Cell: 5.4634 8.7531 8.7917 Å, 119.17 108.10 90.00°
Closest atoms and distances in Å follow each position.
Positions (direct):
Pm (0.3187, 0.0501, 0.6374)  1 In 3.28, 1 Cd 3.28, 5 Pm 3.34-3.66
Pm (0.5921, 0.4493, 0.1842)  3 Cd 3.36, 1 In 3.41, 3 Pm 3.58-3.61
In (0.5000, 0.0000, 0.0000)  8 Pm 3.28-3.41
Cd (0.7730, 0.3833, 0.5461)  8 Pm 3.21-3.39
Pm (0.6813, 0.9499, 0.3626)  1 In 3.28, 1 Cd 3.28, 5 Pm 3.34-3.66
Pm (0.0690, 0.7212, 0.1380)  1 Cd 3.21, 5 Pm 3.34-3.58
Pm (0.8621, 0.8116, 0.7242)  3 Cd 3.25-3.39, 2 In 3.41, 1 Pm 3.64
Pm (0.9310, 0.2788, 0.8620)  1 Cd 3.21, 5 Pm 3.34-3.58
Cd (0.2270, 0.6167, 0.4539)  8 Pm 3.21-3.39
Pm (0.1379, 0.1884, 0.2758)  3 Cd 3.25-3.39, 2 In 3.41, 1 Pm 3.64
Pm (0.4079, 0.5507, 0.8158)  3 Cd 3.36, 1 In 3.41, 3 Pm 3.58-3.61